A | VASP calculation (PBE) on a relaxed structure of KSiRu.

The structure belongs to space group F-43m (No. 216); the cell edges are 6.2910, 6.2910 and 6.2910 Å and the angles 90.00°, 90.00° and 90.00°. The inequivalent atoms are K at (0.0000, 0.0000, 0.0000), Si at (0.0000, 0.0000, 0.5000) and Ru at (0.2500, 0.2500, 0.2500).

As for the calculated density: 4.49 g cm⁻³. For the magnetic moment, the calculation gives 0.00 μB per formula unit.

=====

B | VASP calculation (PBE) on a relaxed structure of KSiRu.

The structure belongs to space group P3m1 (No. 156); the cell edges are 3.2376, 3.2376 and 6.9751 Å and the angles 90.00°, 90.00° and 120.00°. The inequivalent atoms are K at (0.0000, 0.0000, 0.0000), Si at (0.3333, 0.6667, 0.6016) and Ru at (0.6667, 0.3333, 0.3981).

As for the calculated density: 4.41 g cm⁻³. For the magnetic moment, the calculation gives 0.00 μB per formula unit.

=====

Tell me which of them is the least stable. Sure, it is A.

=====

A | VASP calculation (PBE) on a relaxed structure of K2Si2Ru.

The structure belongs to space group P4/mbm (No. 127); the cell edges are 6.2945, 6.2945 and 5.7789 Å and the angles 90.00°, 90.00° and 90.00°. The inequivalent atoms are K at (0.1784, 0.3216, 0.0000), Si at (0.1471, 0.6471, 0.5000) and Ru at (0.0000, 0.0000, 0.5000).

As for the calculated density: 3.42 g cm⁻³. For the magnetic moment, the calculation gives 0.00 μB per formula unit.

=====

B | VASP calculation (PBE) on a relaxed structure of K2Si2Ru.

The structure belongs to space group I4/mmm (No. 139); the cell edges are 3.7407, 3.7407 and 14.5839 Å and the angles 90.00°, 90.00° and 90.00°. The inequivalent atoms are K at (0.0000, 0.5000, 0.2500), Si at (0.0000, 0.0000, 0.0775) and Ru at (0.0000, 0.0000, 0.5000).

As for the calculated density: 3.83 g cm⁻³. For the magnetic moment, the calculation gives 0.90 μB per formula unit.

=====

Tell me which of them is the least stable. Sure, it is B.

=====

A | VASP calculation (PBE) on a relaxed structure of KSnRu3.

The structure belongs to space group Pm-3m (No. 221); the cell edges are 5.0353, 5.0353 and 5.0353 Å and the angles 90.00°, 90.00° and 90.00°. The inequivalent atoms are K at (0.0000, 0.0000, 0.0000), Sn at (0.5000, 0.5000, 0.5000) and Ru at (0.0000, 0.5000, 0.5000).

As for the calculated density: 6.00 g cm⁻³. For the magnetic moment, the calculation gives 4.74 μB per formula unit.

=====

B | VASP calculation (PBE) on a relaxed structure of KSnRu3.

The structure belongs to space group Pm-3m (No. 221); the cell edges are 4.7457, 4.7457 and 4.7457 Å and the angles 90.00°, 90.00° and 90.00°. The inequivalent atoms are K at (0.0000, 0.0000, 0.0000), Sn at (0.5000, 0.5000, 0.5000) and Ru at (0.0000, 0.0000, 0.5000).

As for the calculated density: 7.16 g cm⁻³. For the magnetic moment, the calculation gives 4.98 μB per formula unit.

=====

Tell me which of them is the least stable. Sure, it is B.